# 1
A geometry-optimized TbPrNd2Er4 structure, computed with PBE.

a b c (Å): 9.5247 9.5253 11.8690
angles (deg): 128.54 128.54 88.20
Site moments in Bohr magnetons follow the coordinates.
Sites, in units of the cell vectors:
Er 0.7466 0.2530 0.4998  0.10
Tb 0.5000 0.5000 0.5000  0.11
Er 0.7491 0.7492 0.9961  0.11
Er 0.2492 0.2491 0.4961  0.11
Er 0.2470 0.7534 0.0002  0.10
Tb 0.0000 0.0000 0.0000  0.11
Er 0.2509 0.2508 0.0039  0.11
Nd 0.5000 0.5000 0.0000  0.10
Nd 0.0000 0.0000 0.5000  0.10
Nd 0.5000 0.0000 0.5000  0.08
Pr 0.0000 0.5000 0.5000  0.08
Er 0.7530 0.2466 0.9998  0.10
Er 0.2534 0.7470 0.5002  0.10
Pr 0.0000 0.5000 0.0000  0.08
Er 0.7508 0.7509 0.5039  0.11
Nd 0.5000 0.0000 0.0000  0.08

Symmetry: C2/c (15)
Calculated total energy in eV per atom: -4.236
Density in g cm⁻³: 7.80

---

# 2
A geometry-optimized TbPr2Nd5Er structure, computed with PBE.

a b c (Å): 8.6740 8.6740 10.3916
angles (deg): 114.67 114.67 90.00
Sites, in units of the cell vectors:
Nd 0.0000 0.0000 0.0000
Nd 0.1381 0.0744 0.7125
Nd 0.5000 0.5000 0.0000
Tb 0.2500 0.2500 0.5000
Nd 0.5744 0.6381 0.7125
Pr 0.1217 0.3783 0.0000
Tb 0.7500 0.7500 0.5000
Pr 0.3783 0.8783 0.0000
Pr 0.8783 0.6217 0.0000
Er 0.7500 0.2500 0.5000
Nd 0.9256 0.4256 0.2875
Nd 0.0744 0.5744 0.7125
Nd 0.8619 0.9256 0.2875
Er 0.2500 0.7500 0.5000
Nd 0.4256 0.3619 0.2875
Pr 0.6217 0.1217 0.0000
Nd 0.3619 0.8619 0.2875
Nd 0.6381 0.1381 0.7125

Symmetry: I4/mcm (140)
Calculated total energy in eV per atom: -4.462
Density in g cm⁻³: 6.99

---

# 3
A geometry-optimized Tb2PrNdEr structure, computed with PBE.

a b c (Å): 7.1807 8.4613 7.1934
angles (deg): 126.02 90.00 90.00
Sites, in units of the cell vectors:
Er 0.7500 0.7221 0.4441
Nd 0.2500 0.9988 0.9977
Tb 0.5000 0.3134 0.0000
Tb 0.0000 0.6866 0.0000
Pr 0.2500 0.7306 0.4611
Tb 0.5000 0.6866 0.0000
Tb 0.0000 0.3134 0.0000
Pr 0.7500 0.2694 0.5389
Er 0.2500 0.2779 0.5559
Nd 0.7500 0.0012 0.0023

Symmetry: Cmcm (63)
Calculated total energy in eV per atom: -4.292
Density in g cm⁻³: 7.24

---

# 4
A geometry-optimized TbPrNdEr structure, computed with PBE.

a b c (Å): 5.7512 5.7512 5.7512
angles (deg): 60.00 60.00 60.00
Sites, in units of the cell vectors:
Pr 0.7500 0.7500 0.7500
Er 0.5000 0.5000 0.5000
Nd 0.2500 0.2500 0.2500
Tb 0.0000 0.0000 0.0000

Symmetry: F-43m (216)
Calculated total energy in eV per atom: -4.575
Density in g cm⁻³: 7.55

---

# 5
A geometry-optimized Tb2Pr6NdEr structure, computed with PBE.

a b c (Å): 9.7698 9.0259 9.0259
angles (deg): 117.50 93.87 93.87
Sites, in units of the cell vectors:
Tb 0.4533 0.7986 0.7014
Pr 0.8824 0.2943 0.5108
Pr 0.4457 0.2414 0.8838
Pr 0.5543 0.7586 0.1162
Nd 0.2500 0.9740 0.0260
Pr 0.1885 0.5643 0.0072
Pr 0.3824 0.5108 0.2943
Nd 0.7500 0.0260 0.9740
Er 0.7500 0.5886 0.4114
Tb 0.0467 0.2986 0.2014
Er 0.2500 0.4114 0.5886
Tb 0.5467 0.2014 0.2986
Pr 0.3115 0.9928 0.4357
Pr 0.9457 0.8838 0.2414
Pr 0.8115 0.4357 0.9928
Tb 0.9533 0.7014 0.7986
Pr 0.0543 0.1162 0.7586
Pr 0.6176 0.4892 0.7057
Pr 0.1176 0.7057 0.4892
Pr 0.6885 0.0072 0.5643

Symmetry: C2/c (15)
Calculated total energy in eV per atom: -4.614
Density in g cm⁻³: 7.00

---

# 6
A geometry-optimized Tb6PrNdEr2 structure, computed with PBE.

a b c (Å): 9.5473 8.8198 8.8198
angles (deg): 116.91 93.34 93.34
Sites, in units of the cell vectors:
Tb 0.0573 0.1152 0.7549
Tb 0.8201 0.4376 0.9819
Er 0.4508 0.8018 0.7000
Tb 0.6799 0.0181 0.5624
Nd 0.2500 0.4081 0.5919
Tb 0.1171 0.7062 0.4844
Tb 0.8829 0.2938 0.5156
Pr 0.2500 0.9682 0.0318
Tb 0.3829 0.5156 0.2938
Er 0.0492 0.3000 0.1982
Er 0.9508 0.7000 0.8018
Tb 0.3201 0.9819 0.4376
Er 0.5492 0.1982 0.3000
Pr 0.7500 0.0318 0.9682
Nd 0.7500 0.5919 0.4081
Tb 0.9427 0.8848 0.2451
Tb 0.6171 0.4844 0.7062
Tb 0.4427 0.2451 0.8848
Tb 0.5573 0.7549 0.1152
Tb 0.1799 0.5624 0.0181

Symmetry: C2/c (15)
Calculated total energy in eV per atom: -4.524
Density in g cm⁻³: 7.94

---

Which of these has the lowest calculated total energy?
Tb2Pr6NdEr

---

Please write out number 2 again, unchanged.
A geometry-optimized TbPr2Nd5Er structure, computed with PBE.

a b c (Å): 8.6740 8.6740 10.3916
angles (deg): 114.67 114.67 90.00
Sites, in units of the cell vectors:
Nd 0.0000 0.0000 0.0000
Nd 0.1381 0.0744 0.7125
Nd 0.5000 0.5000 0.0000
Tb 0.2500 0.2500 0.5000
Nd 0.5744 0.6381 0.7125
Pr 0.1217 0.3783 0.0000
Tb 0.7500 0.7500 0.5000
Pr 0.3783 0.8783 0.0000
Pr 0.8783 0.6217 0.0000
Er 0.7500 0.2500 0.5000
Nd 0.9256 0.4256 0.2875
Nd 0.0744 0.5744 0.7125
Nd 0.8619 0.9256 0.2875
Er 0.2500 0.7500 0.5000
Nd 0.4256 0.3619 0.2875
Pr 0.6217 0.1217 0.0000
Nd 0.3619 0.8619 0.2875
Nd 0.6381 0.1381 0.7125

Symmetry: I4/mcm (140)
Calculated total energy in eV per atom: -4.462
Density in g cm⁻³: 6.99